SmHoNb2Si2: optimized geometry, PBE.

Cell and atoms, written as CIF:
```
data_SmHoNb2Si2
_chemical_formula_sum 'Sm1 Ho1 Nb2 Si2'
_space_group_name_H-M_alt 'P 1'
_space_group_IT_number 1
_space_group_name_Hall 'P 1'
_cell_length_a 4.0159
_cell_length_b 4.0159
_cell_length_c 7.8821
_cell_angle_alpha 90.00
_cell_angle_beta 90.00
_cell_angle_gamma 90.00
loop_
_atom_site_label
_atom_site_type_symbol
_atom_site_fract_x
_atom_site_fract_y
_atom_site_fract_z
Ho1 Ho 0.0000 0.0000 0.6506
Nb1 Nb 0.5000 0.0000 0.9984
Nb2 Nb 0.0000 0.5000 0.9984
Si1 Si 0.0000 0.0000 0.2338
Si2 Si 0.5000 0.5000 0.7620
Sm1 Sm 0.5000 0.5000 0.3568
```

Calculated values
**Electronic total energy**: -7.331 eV per atom
**Crystal system**: tetragonal